# Fe6CuSi | the Alexandria database | PBE-GGA | relaxed
data_Fe6CuSi
_chemical_formula_sum 'Fe24 Cu4 Si4'
_symmetry_space_group_name_H-M 'P 1'
_symmetry_Int_Tables_number 1
_symmetry_space_group_name_Hall 'P 1'
_cell_length_a 6.227
_cell_length_b 6.227
_cell_length_c 10.151
_cell_angle_alpha 90.00
_cell_angle_beta 90.00
_cell_angle_gamma 109.43
loop_
_atom_site_label
_atom_site_type_symbol
_atom_site_fract_x
_atom_site_fract_y
_atom_site_fract_z
Fe1 Fe 0.000 0.000 0.000
Fe2 Fe 0.000 0.000 0.500
Fe3 Fe 0.128 0.377 0.124
Fe4 Fe 0.128 0.377 0.876
Fe5 Fe 0.129 0.379 0.374
Fe6 Fe 0.129 0.379 0.626
Fe7 Fe 0.249 0.751 0.248
Fe8 Fe 0.249 0.751 0.752
Fe9 Fe 0.377 0.128 0.124
Fe10 Fe 0.377 0.128 0.876
Fe11 Fe 0.379 0.129 0.374
Fe12 Fe 0.379 0.129 0.626
Fe13 Fe 0.500 0.500 0.000
Fe14 Fe 0.500 0.500 0.500
Fe15 Fe 0.621 0.871 0.374
Fe16 Fe 0.621 0.871 0.626
Fe17 Fe 0.623 0.872 0.124
Fe18 Fe 0.623 0.872 0.876
Fe19 Fe 0.751 0.249 0.248
Fe20 Fe 0.751 0.249 0.752
Fe21 Fe 0.871 0.621 0.374
Fe22 Fe 0.871 0.621 0.626
Fe23 Fe 0.872 0.623 0.124
Fe24 Fe 0.872 0.623 0.876
Cu1 Cu 0.000 0.000 0.251
Cu2 Cu 0.000 0.000 0.749
Cu3 Cu 0.246 0.754 0.500
Cu4 Cu 0.754 0.246 0.500
Si1 Si 0.246 0.754 0.000
Si2 Si 0.500 0.500 0.251
Si3 Si 0.500 0.500 0.749
Si4 Si 0.754 0.246 0.000
# DOS(E_F) = 0.84 states/eV/atom
# M_tot = 56.2 μB per cell
# space-group type = No. 65
# formation energy without anion corrections = -74 meV/atom
# calculated density = 7.635 g cm⁻³

# Fe2CuSi | the Alexandria database | PBE-GGA | relaxed
data_Fe2CuSi
_chemical_formula_sum 'Fe2 Cu1 Si1'
_symmetry_space_group_name_H-M 'P 1'
_symmetry_Int_Tables_number 1
_symmetry_space_group_name_Hall 'P 1'
_cell_length_a 4.264
_cell_length_b 4.264
_cell_length_c 4.264
_cell_angle_alpha 128.82
_cell_angle_beta 128.82
_cell_angle_gamma 75.30
loop_
_atom_site_label
_atom_site_type_symbol
_atom_site_fract_x
_atom_site_fract_y
_atom_site_fract_z
Fe1 Fe 0.000 0.000 0.000
Fe2 Fe 0.750 0.250 0.500
Cu1 Cu 0.500 0.500 0.000
Si1 Si 0.250 0.750 0.500
# DOS(E_F) = 0.75 states/eV/atom
# M_tot = 3.9 μB per cell
# space-group type = No. 119
# formation energy without anion corrections = -103 meV/atom
# calculated density = 7.371 g cm⁻³

# Fe2CuSi | the Alexandria database | PBE-GGA | relaxed
data_Fe2CuSi
_chemical_formula_sum 'Fe2 Cu1 Si1'
_symmetry_space_group_name_H-M 'P 1'
_symmetry_Int_Tables_number 1
_symmetry_space_group_name_Hall 'P 1'
_cell_length_a 3.532
_cell_length_b 3.546
_cell_length_c 3.685
_cell_angle_alpha 90.00
_cell_angle_beta 90.00
_cell_angle_gamma 90.00
loop_
_atom_site_label
_atom_site_type_symbol
_atom_site_fract_x
_atom_site_fract_y
_atom_site_fract_z
Fe1 Fe 0.000 0.000 0.000
Fe2 Fe 0.500 0.500 0.000
Cu1 Cu 0.000 0.500 0.500
Si1 Si 0.500 0.000 0.500
# DOS(E_F) = 0.53 states/eV/atom
# M_tot = 4.2 μB per cell
# space-group type = No. 47
# formation energy without anion corrections = -128 meV/atom
# calculated density = 7.314 g cm⁻³

# Fe2CuSi | the Alexandria database | PBE-GGA | relaxed
data_Fe2CuSi
_chemical_formula_sum 'Fe2 Cu1 Si1'
_symmetry_space_group_name_H-M 'P 1'
_symmetry_Int_Tables_number 1
_symmetry_space_group_name_Hall 'P 1'
_cell_length_a 2.733
_cell_length_b 2.733
_cell_length_c 6.025
_cell_angle_alpha 90.00
_cell_angle_beta 90.00
_cell_angle_gamma 90.00
loop_
_atom_site_label
_atom_site_type_symbol
_atom_site_fract_x
_atom_site_fract_y
_atom_site_fract_z
Fe1 Fe 0.000 0.000 0.229
Fe2 Fe 0.000 0.000 0.771
Cu1 Cu 0.500 0.500 0.500
Si1 Si 0.500 0.500 0.000
# DOS(E_F) = 0.92 states/eV/atom
# M_tot = 3.0 μB per cell
# space-group type = No. 123
# formation energy without anion corrections = -76 meV/atom
# calculated density = 7.500 g cm⁻³

# Fe2CuSi | the Alexandria database | PBE-GGA | relaxed
data_Fe2CuSi
_chemical_formula_sum 'Fe2 Cu1 Si1'
_symmetry_space_group_name_H-M 'P 1'
_symmetry_Int_Tables_number 1
_symmetry_space_group_name_Hall 'P 1'
_cell_length_a 4.429
_cell_length_b 4.429
_cell_length_c 4.318
_cell_angle_alpha 101.95
_cell_angle_beta 101.95
_cell_angle_gamma 33.87
loop_
_atom_site_label
_atom_site_type_symbol
_atom_site_fract_x
_atom_site_fract_y
_atom_site_fract_z
Fe1 Fe 0.000 0.000 0.000
Fe2 Fe 0.242 0.242 0.732
Cu1 Cu 0.756 0.756 0.237
Si1 Si 0.501 0.501 0.503
# DOS(E_F) = 0.73 states/eV/atom
# M_tot = 4.0 μB per cell
# space-group type = No. 8
# formation energy without anion corrections = -65 meV/atom
# calculated density = 7.326 g cm⁻³

# FeCuSi | the Alexandria database | PBE-GGA | relaxed
data_FeCuSi
_chemical_formula_sum 'Fe1 Cu1 Si1'
_symmetry_space_group_name_H-M 'P 1'
_symmetry_Int_Tables_number 1
_symmetry_space_group_name_Hall 'P 1'
_cell_length_a 3.961
_cell_length_b 3.961
_cell_length_c 2.560
_cell_angle_alpha 90.00
_cell_angle_beta 90.00
_cell_angle_gamma 120.00
loop_
_atom_site_label
_atom_site_type_symbol
_atom_site_fract_x
_atom_site_fract_y
_atom_site_fract_z
Fe1 Fe 0.000 0.000 0.000
Cu1 Cu 0.333 0.667 0.518
Si1 Si 0.667 0.333 0.406
# DOS(E_F) = 0.82 states/eV/atom
# M_tot = 1.4 μB per cell
# space-group type = No. 156
# formation energy without anion corrections = -70 meV/atom
# calculated density = 7.039 g cm⁻³

# Fe2CuSi | the Alexandria database | PBE-GGA | relaxed
data_Fe2CuSi
_chemical_formula_sum 'Fe2 Cu1 Si1'
_symmetry_space_group_name_H-M 'P 1'
_symmetry_Int_Tables_number 1
_symmetry_space_group_name_Hall 'P 1'
_cell_length_a 2.967
_cell_length_b 2.967
_cell_length_c 5.309
_cell_angle_alpha 90.00
_cell_angle_beta 90.00
_cell_angle_gamma 90.00
loop_
_atom_site_label
_atom_site_type_symbol
_atom_site_fract_x
_atom_site_fract_y
_atom_site_fract_z
Fe1 Fe 0.000 0.000 0.000
Fe2 Fe 0.500 0.500 0.241
Cu1 Cu 0.500 0.500 0.733
Si1 Si 0.000 0.000 0.477
# DOS(E_F) = 0.93 states/eV/atom
# M_tot = 4.0 μB per cell
# space-group type = No. 99
# formation energy without anion corrections = -21 meV/atom
# calculated density = 7.224 g cm⁻³

# FeCuSi | the Alexandria database | PBE-GGA | relaxed
data_FeCuSi
_chemical_formula_sum 'Fe1 Cu1 Si1'
_symmetry_space_group_name_H-M 'P 1'
_symmetry_Int_Tables_number 1
_symmetry_space_group_name_Hall 'P 1'
_cell_length_a 4.632
_cell_length_b 4.632
_cell_length_c 4.632
_cell_angle_alpha 146.84
_cell_angle_beta 140.13
_cell_angle_gamma 52.79
loop_
_atom_site_label
_atom_site_type_symbol
_atom_site_fract_x
_atom_site_fract_y
_atom_site_fract_z
Fe1 Fe 0.000 0.000 0.000
Cu1 Cu 0.311 0.311 0.000
Si1 Si 0.636 0.636 0.000
# DOS(E_F) = 0.81 states/eV/atom
# M_tot = 1.0 μB per cell
# space-group type = No. 44
# formation energy without anion corrections = -27 meV/atom
# calculated density = 7.069 g cm⁻³

# FeCuSi | the Alexandria database | PBE-GGA | relaxed
data_FeCuSi
_chemical_formula_sum 'Fe1 Cu1 Si1'
_symmetry_space_group_name_H-M 'P 1'
_symmetry_Int_Tables_number 1
_symmetry_space_group_name_Hall 'P 1'
_cell_length_a 5.706
_cell_length_b 5.706
_cell_length_c 5.706
_cell_angle_alpha 153.90
_cell_angle_beta 153.90
_cell_angle_gamma 37.24
loop_
_atom_site_label
_atom_site_type_symbol
_atom_site_fract_x
_atom_site_fract_y
_atom_site_fract_z
Fe1 Fe 0.000 0.000 0.000
Cu1 Cu 0.677 0.677 0.000
Si1 Si 0.344 0.344 0.000
# DOS(E_F) = 0.67 states/eV/atom
# M_tot = 2.3 μB per cell
# space-group type = No. 107
# formation energy without anion corrections = 38 meV/atom
# calculated density = 6.821 g cm⁻³

# Fe2CuSi | the Alexandria database | PBE-GGA | relaxed
data_Fe2CuSi
_chemical_formula_sum 'Fe2 Cu1 Si1'
_symmetry_space_group_name_H-M 'P 1'
_symmetry_Int_Tables_number 1
_symmetry_space_group_name_Hall 'P 1'
_cell_length_a 2.568
_cell_length_b 4.066
_cell_length_c 4.450
_cell_angle_alpha 90.00
_cell_angle_beta 93.84
_cell_angle_gamma 90.00
loop_
_atom_site_label
_atom_site_type_symbol
_atom_site_fract_x
_atom_site_fract_y
_atom_site_fract_z
Fe1 Fe 0.000 0.000 0.000
Fe2 Fe 0.119 0.500 0.697
Cu1 Cu 0.554 0.000 0.498
Si1 Si 0.571 0.500 0.191
# DOS(E_F) = 0.66 states/eV/atom
# M_tot = 4.2 μB per cell
# space-group type = No. 6
# formation energy without anion corrections = -94 meV/atom
# calculated density = 7.282 g cm⁻³